MnHO2F (GGA+U, optimized geometry); DOS(E_F) = 2.9 states/eV/cell; symmetry = P4/mmm; energy = -4.905 eV/atom; M_tot = 3.00 Bohr magnetons per cell
1.0
3.756 0.000 0.000
0.000 3.756 0.000
0.000 0.000 3.925
H Mn O F
1 1 2 1
Direct
0.500 0.500 0.500
0.000 0.000 0.000
0.000 0.500 0.000
0.500 0.000 0.000
0.000 0.000 0.500